Record 1
# ScAl2Pt

A relaxed ScAl2Pt crystal (PBE, Alexandria).

Computed properties:
The value obtained for the density of states at the Fermi level is 2.37 states/eV per cell. As for the calculated formation energy: -273.7 kJ/mol of formula units. Its total DFT energy (no corrections) is -5.67 eV per atom.

a b c (Å): 3.2316 4.3949 5.0826
angles (deg): 90.00 96.76 90.00
Space group P2/m (No. 10)
One atom of each set of equivalent atoms:
Sc: 0.0000 0.0000 0.0000 x1
Al: 0.4121 0.5000 0.7448 x2
Pt: 0.5000 0.0000 0.5000 x1

***

Record 2
# Sc4Al12Pt

A relaxed Sc4Al12Pt crystal (PBE, Alexandria).

Computed properties:
The value obtained for the density of states at the Fermi level is 4.55 states/eV per cell. As for the calculated formation energy: -876.1 kJ/mol of formula units. Its total DFT energy (no corrections) is -5.02 eV per atom.

a b c (Å): 8.4239 8.4239 8.4239
angles (deg): 90.00 90.00 90.00
Space group Im-3m (No. 229)
One atom of each set of equivalent atoms:
Sc: 0.2500 0.2500 0.2500 x8
Al: 0.0000 0.0000 0.2926 x12
Al: 0.0000 0.2500 0.5000 x12
Pt: 0.0000 0.0000 0.0000 x2

***

Record 3
# ScAlPt2

A relaxed ScAlPt2 crystal (PBE, Alexandria).

Computed properties:
The value obtained for the density of states at the Fermi level is 9.24 states/eV per cell. As for the calculated formation energy: -428.8 kJ/mol of formula units. Its total DFT energy (no corrections) is -6.65 eV per atom.

a b c (Å): 6.7110 7.1246 5.7053
angles (deg): 90.00 90.00 90.00
Space group Pnma (No. 62)
One atom of each set of equivalent atoms:
Sc: 0.0225 0.2500 0.1667 x4
Al: 0.1042 0.7500 0.3465 x4
Pt: 0.2051 0.0478 0.5642 x8

***

Record 4
# ScAl2Pt

A relaxed ScAl2Pt crystal (PBE, Alexandria).

Computed properties:
The value obtained for the density of states at the Fermi level is 11.09 states/eV per cell. As for the calculated formation energy: -165.4 kJ/mol of formula units. Its total DFT energy (no corrections) is -5.39 eV per atom.

a b c (Å): 3.1137 3.1137 25.9460
angles (deg): 90.00 90.00 120.00
Space group R-3m (No. 166, hexagonal axes)
One atom of each set of equivalent atoms:
Sc: 0.0000 0.0000 0.0000 x3
Al: 0.0000 0.0000 0.2401 x6
Pt: 0.0000 0.0000 0.5000 x3

***

Record 5
# ScAl2Pt2

A relaxed ScAl2Pt2 crystal (PBE, Alexandria).

Computed properties:
The value obtained for the density of states at the Fermi level is 3.98 states/eV per cell. The distance to the lowest polymorph of the same formula is 0.000 eV per atom. As for the calculated formation energy: -504.2 kJ/mol of formula units. Its total DFT energy (no corrections) is -6.22 eV per atom.

a b c (Å): 4.8763 4.4762 8.2583
angles (deg): 90.00 103.17 90.00
Space group P2_1/m (No. 11)
One atom of each set of equivalent atoms:
Sc: 0.1763 0.2500 0.2721 x2
Al: 0.2376 0.2500 0.6337 x2
Al: 0.3555 0.7500 0.0218 x2
Pt: 0.1194 0.2500 0.9113 x2
Pt: 0.3071 0.7500 0.4762 x2

***

Record 6
# ScAl3Pt4

A relaxed ScAl3Pt4 crystal (PBE, Alexandria).

Computed properties:
The value obtained for the density of states at the Fermi level is 8.28 states/eV per cell. As for the calculated formation energy: -824.7 kJ/mol of formula units. Its total DFT energy (no corrections) is -6.28 eV per atom.

a b c (Å): 4.3293 4.3293 23.4544
angles (deg): 90.00 90.00 120.00
Space group R-3m (No. 166, hexagonal axes)
One atom of each set of equivalent atoms:
Sc: 0.0000 0.0000 0.0000 x3
Al: 0.0000 0.0000 0.2511 x6
Al: 0.0000 0.0000 0.5000 x3
Pt: 0.0000 0.0000 0.1313 x6
Pt: 0.0000 0.0000 0.3948 x6